No. 1
The following is a PBE calculation of Ti2In2Ni after structural relaxation, from Alexandria via LeMat-Bulk.

POSCAR file:
```
Ti2In2Ni
1.0
6.660 0.000 0.000
0.000 6.660 0.000
0.000 0.000 4.225
Ti In Ni
4 4 2
direct
0.159 0.341 0.000 Ti
0.341 0.841 0.000 Ti
0.659 0.159 0.000 Ti
0.841 0.659 0.000 Ti
0.149 0.649 0.500 In
0.351 0.149 0.500 In
0.649 0.851 0.500 In
0.851 0.351 0.500 In
0.000 0.000 0.500 Ni
0.500 0.500 0.500 Ni
```

Summary:
Its energy of formation from the pure elements is 0.07 eV/atom. The density of states at the Fermi level is 0.6054 states/eV/atom. Its total energy is -53.35 eV for the cell shown. The symmetry is P4/mbm, No. 127. As for the volume: 18.74 Å³/atom.

=====

No. 2
The following is a PBE calculation of TiIn2Ni2 after structural relaxation, from Alexandria via LeMat-Bulk.

POSCAR file:
```
TiIn2Ni2
1.0
-1.843 1.843 6.450
1.843 -1.843 6.450
1.843 1.843 -6.450
Ti In Ni
1 2 2
direct
0.000 0.000 0.000 Ti
0.388 0.388 0.000 In
0.612 0.612 0.000 In
0.250 0.750 0.500 Ni
0.750 0.250 0.500 Ni
```

Summary:
Its energy of formation from the pure elements is 0.17 eV/atom. The density of states at the Fermi level is 1.0885 states/eV/atom. The calculation puts the distance to the lowest polymorph of the same formula at 1.225 eV per formula unit. Its total energy is -24.09 eV for the cell shown. The symmetry is I4/mmm, No. 139. As for the volume: 17.52 Å³/atom.

=====

No. 3
The following is a PBE calculation of TiInNi2 after structural relaxation, from Alexandria via LeMat-Bulk.

POSCAR file:
```
TiInNi2
1.0
3.105 0.000 0.000
0.000 3.105 0.000
0.000 0.000 6.116
Ti In Ni
1 1 2
direct
0.000 0.000 0.000 Ti
0.000 0.000 0.500 In
0.500 0.500 0.212 Ni
0.500 0.500 0.788 Ni
```

Summary:
Its energy of formation from the pure elements is -0.34 eV/atom. The density of states at the Fermi level is 0.7087 states/eV/atom. Its total energy is -23.54 eV for the cell shown. The symmetry is P4/mmm, No. 123. As for the volume: 14.74 Å³/atom.

=====

No. 4
The following is a PBE calculation of TiIn2Ni2 after structural relaxation, from Alexandria via LeMat-Bulk.

POSCAR file:
```
TiIn2Ni2
1.0
7.597 0.000 0.000
0.000 7.597 0.000
0.000 0.000 2.860
Ti In Ni
2 4 4
direct
0.000 0.000 0.000 Ti
0.500 0.500 0.000 Ti
0.138 0.362 0.000 In
0.362 0.862 0.000 In
0.638 0.138 0.000 In
0.862 0.638 0.000 In
0.162 0.662 0.500 Ni
0.338 0.162 0.500 Ni
0.662 0.838 0.500 Ni
0.838 0.338 0.500 Ni
```

Summary:
Its energy of formation from the pure elements is 0.04 eV/atom. The density of states at the Fermi level is 1.2054 states/eV/atom. The calculation puts the distance to the lowest polymorph of the same formula at 0.582 eV per formula unit. Its total energy is -49.46 eV for the cell shown. The symmetry is P4/mbm, No. 127. As for the volume: 16.51 Å³/atom.

=====

No. 5
The following is a PBE calculation of Ti6InNi after structural relaxation, from Alexandria via LeMat-Bulk.

POSCAR file:
```
Ti6InNi
1.0
3.829 -4.681 0.000
3.829 4.681 0.000
-3.609 0.000 3.828
Ti In Ni
6 1 1
direct
0.000 0.000 0.249 Ti
0.000 0.000 0.751 Ti
0.031 0.470 0.751 Ti
0.470 0.031 0.751 Ti
0.530 0.969 0.249 Ti
0.969 0.530 0.249 Ti
0.500 0.500 0.500 In
0.500 0.500 0.000 Ni
```

Summary:
Its energy of formation from the pure elements is 0.07 eV/atom. The density of states at the Fermi level is 1.2501 states/eV/atom. Its total energy is -55.34 eV for the cell shown. The symmetry is C2/m, No. 12. As for the volume: 17.15 Å³/atom.

=====

No. 6
The following is a PBE calculation of Ti7InNi2 after structural relaxation, from Alexandria via LeMat-Bulk.

POSCAR file:
```
Ti7InNi2
1.0
3.707 -6.027 0.000
3.707 6.027 0.000
0.000 0.000 4.377
Ti In Ni
7 1 2
direct
0.000 0.000 0.000 Ti
0.189 0.438 0.000 Ti
0.245 0.755 0.500 Ti
0.438 0.189 0.000 Ti
0.562 0.811 0.000 Ti
0.755 0.245 0.500 Ti
0.811 0.562 0.000 Ti
0.500 0.500 0.500 In
0.194 0.806 0.000 Ni
0.806 0.194 0.000 Ni
```

Summary:
Its energy of formation from the pure elements is 0.32 eV/atom. The density of states at the Fermi level is 1.6089 states/eV/atom. Its total energy is -66.38 eV for the cell shown. The symmetry is Cmmm, No. 65. As for the volume: 19.56 Å³/atom.

=====

Q: Among the records above, which one has the highest volume?
A: Ti7InNi2